A plane-wave DFT calculation with PBE with a Hubbard U was carried out for a relaxed structure of NiP3O. Values from VASP.

Quantum ESPRESSO input file:
```
&SYSTEM
  ibrav = 0, nat = 5, ntyp = 3
/
ATOMIC_SPECIES
P 30.97 P.upf
Ni 58.69 Ni.upf
O 16.00 O.upf
ATOMIC_POSITIONS crystal
P 0.000 0.500 0.000
Ni 0.000 0.000 0.000
O 0.500 0.500 0.500
P 0.000 0.000 0.500
P 0.500 0.000 0.000
CELL_PARAMETERS angstrom
4.290 0.000 0.000
0.000 4.290 0.000
0.000 0.000 4.290
```

total DFT energy (no corrections)	-3.506	eV/atom
offset from the most stable computed form	1.69	eV per formula unit
D(E_F)	3.67	states/eV per cell
volume	15.79	Å³/atom